1.
Entry from Alexandria: crystalline Tl2CoRhN at its relaxed geometry (PBE).

Lattice parameters (Å, degrees): 5.2138 4.6217 5.2138 90.00 90.00 90.00
With the nearest neighbours (Å) after each atom.
Sites, in units of the cell vectors:
Tl  0.5000  0.0000  0.0000  2 Rh 2.61
Tl  0.0000  0.0000  0.5000  2 Rh 2.61
N  0.5000  0.5000  0.5000  8 Tl 3.48, 4 Co 3.69
Co  0.0000  0.5000  0.0000  2 Rh 2.31
Rh  0.0000  0.0000  0.0000  2 Co 2.31

Properties
Space-group type ... P4/mmm

2.
Entry from Alexandria: crystalline V2CoRhN at its relaxed geometry (PBE).

Lattice parameters (Å, degrees): 3.9152 3.9152 3.7450 90.00 90.00 90.00
With the nearest neighbours (Å) after each atom.
Sites, in units of the cell vectors:
N  0.0000  0.0000  0.0000  2 Co 1.87, 4 V 1.96
Co  0.0000  0.0000  0.5000  2 N 1.87
V  0.0000  0.5000  0.0000  2 N 1.96
V  0.5000  0.0000  0.0000  2 N 1.96
Rh  0.5000  0.5000  0.5000  8 V 2.71, 4 Co 2.77

Properties
Space-group type ... P4/mmm

3.
Entry from Alexandria: crystalline Co2RhWN at its relaxed geometry (PBE).

Lattice parameters (Å, degrees): 3.8164 3.8164 4.0407 90.00 90.00 90.00
With the nearest neighbours (Å) after each atom.
Sites, in units of the cell vectors:
W  0.0000  0.0000  0.5000  2 N 2.02
N  0.0000  0.0000  0.0000  4 Co 1.91, 2 W 2.02
Co  0.5000  0.0000  0.0000  2 N 1.91
Rh  0.5000  0.5000  0.5000  4 W 2.70, 8 Co 2.78
Co  0.0000  0.5000  0.0000  2 N 1.91

Properties
Space-group type ... P4/mmm

How do the records compare in uncorrected formation energy? In the order shown, they have 149.1; -47.7; -2.9 kJ/mol of atoms.
How do the records compare in E? In the order shown, they have -19.79; -43.49; -42.99 eV/cell.
How do the records compare in magnetization? In the order shown, they have 0.43; 0.08; 0.42 μB per atom.